# NaBiI2N, optimized geometry, DFT PBE
# **Distance to the lowest polymorph of the same formula**: 577 meV per atom
# **Space-group type**: P4/mmm (123)
data_NaBiI2N
_chemical_formula_sum 'Na1 Bi1 I2 N1'
_cell_length_a 5.926
_cell_length_b 5.926
_cell_length_c 4.437
_cell_angle_alpha 90.00
_cell_angle_beta 90.00
_cell_angle_gamma 90.00
_space_group_name_H-M_alt 'P 1'
_space_group_IT_number 1
loop_
_space_group_symop_operation_xyz
'x,y,z'
loop_
_atom_site_label
_atom_site_type_symbol
_atom_site_fract_x
_atom_site_fract_y
_atom_site_fract_z
_atom_site_occupancy
Na1 Na 0.000 0.000 0.000 1
Bi1 Bi 0.500 0.500 0.500 1
I1 I 0.000 0.500 0.000 1
I2 I 0.500 0.000 0.000 1
N1 N 0.000 0.000 0.500 1

***

# ZnH2Ir, optimized geometry, DFT PBE
# **Distance to the lowest polymorph of the same formula**: 19 meV per atom
# **Space-group type**: R-3m (166)
data_ZnH2Ir
_chemical_formula_sum 'Zn1 H2 Ir1'
_cell_length_a 4.785
_cell_length_b 4.785
_cell_length_c 4.785
_cell_angle_alpha 37.51
_cell_angle_beta 37.51
_cell_angle_gamma 37.51
_space_group_name_H-M_alt 'P 1'
_space_group_IT_number 1
loop_
_space_group_symop_operation_xyz
'x,y,z'
loop_
_atom_site_label
_atom_site_type_symbol
_atom_site_fract_x
_atom_site_fract_y
_atom_site_fract_z
_atom_site_occupancy
Zn1 Zn 0.000 0.000 0.000 1
H1 H 0.377 0.377 0.377 1
H2 H 0.623 0.623 0.623 1
Ir1 Ir 0.500 0.500 0.500 1

***

# PuCd2Au10, optimized geometry, DFT PBE
# **Formation enthalpy at 0 K**: -126 meV per atom
# **Space-group type**: Fmmm (69)
data_PuCd2Au10
_chemical_formula_sum 'Pu1 Cd2 Au10'
_cell_length_a 9.599
_cell_length_b 7.581
_cell_length_c 7.139
_cell_angle_alpha 81.34
_cell_angle_beta 51.33
_cell_angle_gamma 47.33
_space_group_name_H-M_alt 'P 1'
_space_group_IT_number 1
loop_
_space_group_symop_operation_xyz
'x,y,z'
loop_
_atom_site_label
_atom_site_type_symbol
_atom_site_fract_x
_atom_site_fract_y
_atom_site_fract_z
_atom_site_occupancy
Pu1 Pu 0.000 0.000 0.000 1
Cd1 Cd 0.000 0.500 0.000 1
Cd2 Cd 0.500 0.000 0.500 1
Au1 Au 0.000 0.000 0.500 1
Au2 Au 0.005 0.657 0.343 1
Au3 Au 0.287 0.500 0.500 1
Au4 Au 0.343 0.995 0.005 1
Au5 Au 0.500 0.287 0.713 1
Au6 Au 0.500 0.500 0.000 1
Au7 Au 0.500 0.713 0.287 1
Au8 Au 0.657 0.005 0.995 1
Au9 Au 0.713 0.500 0.500 1
Au10 Au 0.995 0.343 0.657 1

***

# Pr8TeP3Se4, optimized geometry, DFT PBE
# **E_tot**: -6.20 eV per atom
# **Space-group type**: R-3m (166)
data_Pr8TeP3Se4
_chemical_formula_sum 'Pr8 Te1 P3 Se4'
_cell_length_a 8.572
_cell_length_b 8.572
_cell_length_c 8.572
_cell_angle_alpha 59.91
_cell_angle_beta 59.91
_cell_angle_gamma 59.91
_space_group_name_H-M_alt 'P 1'
_space_group_IT_number 1
loop_
_space_group_symop_operation_xyz
'x,y,z'
loop_
_atom_site_label
_atom_site_type_symbol
_atom_site_fract_x
_atom_site_fract_y
_atom_site_fract_z
_atom_site_occupancy
Pr1 Pr 0.227 0.756 0.756 1
Pr2 Pr 0.244 0.244 0.244 1
Pr3 Pr 0.244 0.244 0.773 1
Pr4 Pr 0.244 0.773 0.244 1
Pr5 Pr 0.756 0.227 0.756 1
Pr6 Pr 0.756 0.756 0.227 1
Pr7 Pr 0.756 0.756 0.756 1
Pr8 Pr 0.773 0.244 0.244 1
Te1 Te 0.500 0.500 0.500 1
P1 P 0.000 0.000 0.500 1
P2 P 0.000 0.500 0.000 1
P3 P 0.500 0.000 0.000 1
Se1 Se 0.000 0.000 0.000 1
Se2 Se 0.000 0.500 0.500 1
Se3 Se 0.500 0.000 0.500 1
Se4 Se 0.500 0.500 0.000 1

***

# Li5La3, optimized geometry, DFT PBE
# **Formation enthalpy at 0 K**: 164 meV per atom
# **Space-group type**: Cmmm (65)
data_Li5La3
_chemical_formula_sum 'Li5 La3'
_cell_length_a 6.626
_cell_length_b 6.626
_cell_length_c 5.474
_cell_angle_alpha 90.00
_cell_angle_beta 90.00
_cell_angle_gamma 113.86
_space_group_name_H-M_alt 'P 1'
_space_group_IT_number 1
loop_
_space_group_symop_operation_xyz
'x,y,z'
loop_
_atom_site_label
_atom_site_type_symbol
_atom_site_fract_x
_atom_site_fract_y
_atom_site_fract_z
_atom_site_occupancy
Li1 Li 0.000 0.000 0.000 1
Li2 Li 0.000 0.500 0.000 1
Li3 Li 0.210 0.210 0.500 1
Li4 Li 0.500 0.000 0.000 1
Li5 Li 0.790 0.790 0.500 1
La1 La 0.269 0.731 0.500 1
La2 La 0.500 0.500 0.000 1
La3 La 0.731 0.269 0.500 1

***

# InPd3Se, optimized geometry, DFT PBE
# **Distance to the lowest polymorph of the same formula**: 335 meV per atom
# **Space-group type**: Pm-3m (221)
data_InPd3Se
_chemical_formula_sum 'In1 Pd3 Se1'
_cell_length_a 4.742
_cell_length_b 4.742
_cell_length_c 4.742
_cell_angle_alpha 90.00
_cell_angle_beta 90.00
_cell_angle_gamma 90.00
_space_group_name_H-M_alt 'P 1'
_space_group_IT_number 1
loop_
_space_group_symop_operation_xyz
'x,y,z'
loop_
_atom_site_label
_atom_site_type_symbol
_atom_site_fract_x
_atom_site_fract_y
_atom_site_fract_z
_atom_site_occupancy
In1 In 0.000 0.000 0.000 1
Pd1 Pd 0.000 0.500 0.500 1
Pd2 Pd 0.500 0.000 0.500 1
Pd3 Pd 0.500 0.500 0.000 1
Se1 Se 0.500 0.500 0.500 1

***

# Ac8NiP3Br4, optimized geometry, DFT PBE
# **E_tot**: -5.11 eV per atom
# **Space-group type**: R-3m (166)
data_Ac8NiP3Br4
_chemical_formula_sum 'Ac8 Ni1 P3 Br4'
_cell_length_a 9.215
_cell_length_b 9.215
_cell_length_c 9.215
_cell_angle_alpha 57.50
_cell_angle_beta 57.50
_cell_angle_gamma 57.50
_space_group_name_H-M_alt 'P 1'
_space_group_IT_number 1
loop_
_space_group_symop_operation_xyz
'x,y,z'
loop_
_atom_site_label
_atom_site_type_symbol
_atom_site_fract_x
_atom_site_fract_y
_atom_site_fract_z
_atom_site_occupancy
Ac1 Ac 0.237 0.237 0.237 1
Ac2 Ac 0.245 0.731 0.731 1
Ac3 Ac 0.269 0.269 0.755 1
Ac4 Ac 0.269 0.755 0.269 1
Ac5 Ac 0.731 0.245 0.731 1
Ac6 Ac 0.731 0.731 0.245 1
Ac7 Ac 0.755 0.269 0.269 1
Ac8 Ac 0.763 0.763 0.763 1
Ni1 Ni 0.500 0.500 0.500 1
P1 P 0.000 0.000 0.500 1
P2 P 0.000 0.500 0.000 1
P3 P 0.500 0.000 0.000 1
Br1 Br 0.000 0.000 0.000 1
Br2 Br 0.000 0.500 0.500 1
Br3 Br 0.500 0.000 0.500 1
Br4 Br 0.500 0.500 0.000 1

***

# KBa2Pb2, optimized geometry, DFT PBE
# **Distance to the lowest polymorph of the same formula**: 301 meV per atom
# **Formation enthalpy at 0 K**: -99 meV per atom
# **Space-group type**: I4/mmm (139)
data_KBa2Pb2
_chemical_formula_sum 'K1 Ba2 Pb2'
_cell_length_a 8.018
_cell_length_b 8.018
_cell_length_c 8.018
_cell_angle_alpha 134.31
_cell_angle_beta 134.31
_cell_angle_gamma 66.60
_space_group_name_H-M_alt 'P 1'
_space_group_IT_number 1
loop_
_space_group_symop_operation_xyz
'x,y,z'
loop_
_atom_site_label
_atom_site_type_symbol
_atom_site_fract_x
_atom_site_fract_y
_atom_site_fract_z
_atom_site_occupancy
K1 K 0.000 0.000 0.000 1
Ba1 Ba 0.352 0.352 0.000 1
Ba2 Ba 0.648 0.648 0.000 1
Pb1 Pb 0.250 0.750 0.500 1
Pb2 Pb 0.750 0.250 0.500 1